Entry A
VASP calculation (GGA-PBE) on a relaxed structure of HoZrRh4.

Space group: No. 12

POSCAR file:
```
HoZrRh4
1.0
3.365 0.000 0.973
1.897 4.829 -0.256
-0.115 -1.658 6.699
Rh Ho Zr
4 1 1
direct
0.138 0.533 0.191
0.699 0.958 0.644
0.301 0.042 0.356
0.862 0.467 0.809
0.000 0.000 0.000
0.500 0.500 0.500
```


Entry B
VASP calculation (GGA-PBE) on a relaxed structure of HoZrRh4.

Space group: No. 216

POSCAR file:
```
HoZrRh4
1.0
-0.886 -2.467 -4.573
-3.821 -3.615 -0.348
-4.372 1.043 -2.754
Rh Ho Zr
4 1 1
direct
0.625 0.125 0.625
0.125 0.625 0.625
0.625 0.625 0.625
0.625 0.625 0.125
0.000 0.000 0.000
0.250 0.250 0.250
```


Entry C
VASP calculation (GGA-PBE) on a relaxed structure of HoZrRh4.

Space group: No. 47

POSCAR file:
```
HoZrRh4
1.0
-0.900 2.266 -1.974
0.182 -2.938 -3.457
-7.504 -1.910 1.229
Ho Rh Zr
1 4 1
direct
0.502 0.497 0.998
0.001 0.497 0.297
0.002 0.497 0.700
0.500 0.997 0.224
0.502 0.997 0.772
0.001 0.997 0.498
```


Energies relative to the minimum, kJ/mol of atoms: entry A 20.5; entry B 0.0; entry C 33.0